Entry 1:
ThMg2Al2Zn | PBE | optimized geometry

The structure belongs to space group I4/mmm (No. 139); the cell edges are 4.220, 4.220 and 16.899 Å and the angles 90.00°, 90.00° and 90.00°. Symmetry generates all atoms from Th at (0.000, 0.000, 0.000), Mg at (0.000, 0.500, 0.250), Al at (0.000, 0.000, 0.363) and Zn at (0.000, 0.000, 0.500).

The calculation puts the energy of formation from the pure elements at 1.44 eV per formula unit. The calculation puts the density of states at the Fermi level at 3.9 states/eV/cell.

Entry 2:
LiPm4S5 | PBE | optimized geometry

The structure belongs to space group R-3m (No. 166, hexagonal axes); the cell edges are 4.0191, 4.0191 and 48.4750 Å and the angles 90.00°, 90.00° and 120.00°. Symmetry generates all atoms from Li at (0.0000, 0.0000, 0.0000), Pm at (0.0000, 0.0000, 0.2009), Pm at (0.0000, 0.0000, 0.3970), S at (0.0000, 0.0000, 0.0981), S at (0.0000, 0.0000, 0.3023) and S at (0.0000, 0.0000, 0.5000).

The calculation puts the energy above the most stable polymorph in this dataset at 19 meV/atom. The calculation puts the density of states at the Fermi level at 13.0 states/eV/cell. The uncorrected formation energy is -1.936 eV/atom.

Entry 3:
Rb8Bi2S | PBE | optimized geometry

The structure belongs to space group C2/m (No. 12); the cell edges are 21.893, 6.245 and 8.335 Å and the angles 90.00°, 110.95° and 90.00°. Symmetry generates all atoms from Rb at (0.012, 0.000, 0.285), Rb at (0.094, 0.500, 0.908), Rb at (0.151, 0.500, 0.450), Rb at (0.221, 0.000, 0.789), Bi at (0.164, 0.000, 0.174) and S at (0.000, 0.500, 0.500).

The calculation puts the energy above the most stable polymorph in this dataset at 0 meV/atom. The calculation puts the density of states at the Fermi level at 18.5 states/eV/cell. The uncorrected formation energy is -0.483 eV/atom.

Entry 4:
CsCr2NiAs | PBE | optimized geometry

The structure belongs to space group P4/mmm (No. 123); the cell edges are 5.486, 5.486 and 4.686 Å and the angles 90.00°, 90.00° and 90.00°. Symmetry generates all atoms from Cs at (0.000, 0.000, 0.000), Cr at (0.000, 0.500, 0.000), Ni at (0.000, 0.000, 0.500) and As at (0.500, 0.500, 0.500).

The calculation puts the energy of formation from the pure elements at 11.19 eV per formula unit. The calculation puts the density of states at the Fermi level at 2.5 states/eV/cell.

Entry 5:
Ac2TlAg | PBE | optimized geometry

The structure belongs to space group P4/mmm (No. 123); the cell edges are 3.999, 3.999 and 8.297 Å and the angles 90.00°, 90.00° and 90.00°. Symmetry generates all atoms from Ac at (0.000, 0.000, 0.237), Tl at (0.500, 0.500, 0.500) and Ag at (0.500, 0.500, 0.000).

The calculation puts the energy of formation from the pure elements at -1.20 eV per formula unit. The calculation puts the density of states at the Fermi level at 5.3 states/eV/cell.

Entry 6:
La2InCoAg | PBE | optimized geometry

The structure belongs to space group P4/mmm (No. 123); the cell edges are 5.138, 5.138 and 5.088 Å and the angles 90.00°, 90.00° and 90.00°. Symmetry generates all atoms from La at (0.000, 0.500, 0.000), In at (0.000, 0.000, 0.500), Co at (0.500, 0.500, 0.000) and Ag at (0.500, 0.500, 0.500).

The calculation puts the energy above the most stable polymorph in this dataset at 94 meV/atom. The calculation puts the energy of formation from the pure elements at -0.75 eV per formula unit. The calculation puts the density of states at the Fermi level at 5.6 states/eV/cell.

Entry 7:
Pr6Se3SN2 | PBE | optimized geometry

The structure belongs to space group C2/m (No. 12); the cell edges are 6.891, 11.921 and 7.242 Å and the angles 90.00°, 108.48° and 90.00°. Symmetry generates all atoms from Pr at (0.214, 0.000, 0.206), Pr at (0.247, 0.322, 0.209), Se at (0.000, 0.000, 0.500), Se at (0.000, 0.340, 0.500), S at (0.000, 0.500, 0.000) and N at (0.000, 0.167, 0.000).

The calculation puts the density of states at the Fermi level at 9.2 states/eV/cell. The uncorrected formation energy is -1.684 eV/atom.

Entry 8:
K2AlNi | PBE | optimized geometry

The structure belongs to space group C2/m (No. 12); the cell edges are 5.597, 8.267 and 4.911 Å and the angles 90.00°, 90.19° and 90.00°. Symmetry generates all atoms from K at (0.250, 0.250, 0.000), Al at (0.000, 0.000, 0.500) and Ni at (0.000, 0.500, 0.500).

The calculation puts the energy of formation from the pure elements at 2.81 eV per formula unit. The calculation puts the density of states at the Fermi level at 4.2 states/eV/cell.

Entry 9:
LiMoOs2 | PBE | optimized geometry

The structure belongs to space group Pm (No. 6); the cell edges are 2.695, 4.194 and 5.106 Å and the angles 90.00°, 102.57° and 90.00°. Symmetry generates all atoms from Li at (0.000, 0.000, 0.000), Mo at (0.687, 0.500, 0.223), Os at (0.179, 0.500, 0.743) and Os at (0.524, 0.000, 0.506).

The calculation puts the energy above the most stable polymorph in this dataset at 93 meV/atom. The calculation puts the energy of formation from the pure elements at 0.88 eV per formula unit. The calculation puts the density of states at the Fermi level at 3.6 states/eV/cell.

Entry 10:
Pr2ThZrN4 | PBE | optimized geometry

The structure belongs to space group P2/m (No. 10); the cell edges are 6.155, 3.554 and 6.218 Å and the angles 90.00°, 108.88° and 90.00°. Symmetry generates all atoms from Pr at (0.000, 0.000, 0.000), Pr at (0.500, 0.500, 0.000), Th at (0.000, 0.500, 0.500), Zr at (0.500, 0.000, 0.500), N at (0.259, 0.000, 0.721) and N at (0.274, 0.500, 0.284).

The calculation puts the density of states at the Fermi level at 2.9 states/eV/cell. The uncorrected formation energy is -1.465 eV/atom.

Entry 11:
SiHg2MoH | PBE | optimized geometry

The structure belongs to space group P4/mmm (No. 123); the cell edges are 5.441, 5.441 and 3.468 Å and the angles 90.00°, 90.00° and 90.00°. Symmetry generates all atoms from Si at (0.000, 0.000, 0.000), Hg at (0.000, 0.500, 0.500), Mo at (0.500, 0.500, 0.500) and H at (0.500, 0.500, 0.000).

The calculation puts the density of states at the Fermi level at 3.5 states/eV/cell.

Entry 12:
HoBeAl | PBE | optimized geometry

The structure belongs to space group Cmcm (No. 63); the cell edges are 3.673, 15.577 and 4.017 Å and the angles 90.00°, 90.00° and 90.00°. Symmetry generates all atoms from Ho at (0.000, 0.096, 0.250), Be at (0.000, 0.460, 0.250) and Al at (0.000, 0.293, 0.250).

The calculation puts the energy above the most stable polymorph in this dataset at 200 meV/atom. The calculation puts the energy of formation from the pure elements at -0.18 eV per formula unit. The calculation puts the density of states at the Fermi level at 10.2 states/eV/cell.

Number 1: uncorrected energy -2.99 eV/atom. Number 2: uncorrected energy -6.09 eV/atom. Number 3: uncorrected energy -2.27 eV/atom. Number 4: uncorrected energy -3.87 eV/atom. Number 5: uncorrected energy -3.66 eV/atom. Number 6: uncorrected energy -4.66 eV/atom. Number 7: uncorrected energy -6.68 eV/atom. Number 8: uncorrected energy -2.23 eV/atom. Number 9: uncorrected energy -8.58 eV/atom. Number 10: uncorrected energy -8.82 eV/atom. Number 11: uncorrected energy -3.07 eV/atom. Number 12: uncorrected energy -4.08 eV/atom.